## SrLiGaO3 (PBE-GGA)

Data for an optimized crystal structure of SrLiGaO3.

SG: Cmcm (63)
Magnetic moment, μB per cell: 0.00
DOS(E_F), states/eV/cell: 0.00
Uncorrected formation energy, eV per atom: -2.178

Geometry as POSCAR:
```
SrLiGaO3
1.0
5.390 0.000 0.000
0.000 5.411 0.000
0.000 -2.705 5.060
Sr Li Ga O
2 2 2 6
Cartesian
4.043 0.000 2.892
1.348 2.705 2.168
1.348 0.000 4.328
4.043 2.705 0.732
1.348 0.000 0.506
4.043 2.705 4.554
1.348 0.000 2.400
0.000 1.329 0.000
2.695 4.082 0.000
2.695 1.329 0.000
0.000 4.082 0.000
4.043 2.705 2.660
```